First-principles (PBE) data for crystalline InSiSe2 at its relaxed geometry, as listed in Alexandria via LeMat-Bulk.

abc: 3.389 7.149 8.818
angles: 90.00 90.00 90.00
Space group Cmmm (No. 65)
One atom of each set of equivalent atoms:
In 0.000 0.000 0.000
Si 0.000 0.000 0.500
Se 0.000 0.500 0.306

Properties
VASP energy (eV per atom): -3.73